# 1
CaFeOs2 | GGA-PBE | relaxed Values from VASP.

Computed properties:
The calculation puts the calculated formation energy at 0.489 eV/atom. For the density of states at the Fermi level, the calculation gives 5.56 states/eV/cell. The total energy comes out at -7.74 eV/atom.

Quantum ESPRESSO input file:
```
&SYSTEM
  ibrav = 0, nat = 4, ntyp = 3
/
ATOMIC_SPECIES
Ca 40.08 Ca.upf
Fe 55.84 Fe.upf
Os 190.23 Os.upf
CELL_PARAMETERS angstrom
2.801 0.000 0.000
0.000 4.230 0.000
-1.390 0.000 5.671
ATOMIC_POSITIONS angstrom
Ca 0.000 0.000 0.000
Fe 1.403 2.115 1.479
Os 0.002 2.115 3.663
Os 1.402 0.000 2.809
```

# 2
Ca2FePOs | GGA-PBE | relaxed Values from VASP.

Computed properties:
The calculation puts the calculated formation energy at 0.424 eV/atom. For the density of states at the Fermi level, the calculation gives 4.06 states/eV/cell. The total energy comes out at -5.40 eV/atom.

Quantum ESPRESSO input file:
```
&SYSTEM
  ibrav = 0, nat = 5, ntyp = 4
/
ATOMIC_SPECIES
Ca 40.08 Ca.upf
Fe 55.84 Fe.upf
P 30.97 P.upf
Os 190.23 Os.upf
CELL_PARAMETERS angstrom
5.588 0.000 0.000
0.000 5.588 0.000
0.000 0.000 4.388
ATOMIC_POSITIONS angstrom
Ca 0.000 2.794 0.000
Ca 2.794 0.000 0.000
Fe 0.000 0.000 2.194
P 2.794 2.794 2.194
Os 2.794 2.794 0.000
```